Model w:
Material: CdBIN2
Method: DFT, GGA-PBE
State: optimized geometry

```
5
Lattice="3.656 0.000 0.000 0.000 3.656 0.000 0.000 0.000 6.532" Properties=species:S:1:pos:R:3 pbc="T T T"
Cd 0.000 0.000 0.000
B 1.828 1.828 3.266
I 1.828 1.828 0.000
N 0.000 1.828 3.266
N 1.828 0.000 3.266
```

=====

Model x:
Material: CdBIN2
Method: DFT, GGA-PBE
State: optimized geometry

```
5
Lattice="4.293 0.000 0.000 0.000 4.293 0.000 0.000 0.000 6.656" Properties=species:S:1:pos:R:3 pbc="T T T"
Cd 0.000 0.000 0.000
B 2.147 2.147 3.328
I 0.000 0.000 3.328
N 0.000 2.147 0.000
N 2.147 0.000 0.000
```

=====

Here are the energies relative to the best structure, in meV per atom: model w 0; model x 590.

=====

Model w:
Material: CdBI2O
Method: DFT, GGA-PBE
State: optimized geometry

```
5
Lattice="6.882 0.000 0.000 0.000 6.882 0.000 0.000 0.000 2.869" Properties=species:S:1:pos:R:3 pbc="T T T"
Cd 0.000 0.000 0.000
B 3.441 3.441 1.435
I 0.000 3.441 1.435
I 3.441 0.000 1.435
O 3.441 3.441 0.000
```

=====

Model x:
Material: CdBI2O
Method: DFT, GGA-PBE
State: optimized geometry

```
5
Lattice="5.951 0.000 0.000 0.000 5.951 0.000 0.000 0.000 4.147" Properties=species:S:1:pos:R:3 pbc="T T T"
Cd 0.000 0.000 0.000
B 2.975 2.975 2.074
I 0.000 2.975 0.000
I 2.975 0.000 0.000
O 0.000 0.000 2.074
```

=====

Here are the energies relative to the best structure, in meV per atom: model w 0; model x 959.

=====

Model w:
Material: CdBSb2I
Method: DFT, GGA-PBE
State: optimized geometry

```
5
Lattice="5.489 0.000 0.000 0.000 5.489 0.000 0.000 0.000 6.069" Properties=species:S:1:pos:R:3 pbc="T T T"
Cd 0.000 0.000 0.000
B 2.745 2.745 3.035
Sb 0.000 2.745 0.000
Sb 2.745 0.000 0.000
I 0.000 0.000 3.035
```

=====

Model x:
Material: CdBSb2I
Method: DFT, GGA-PBE
State: optimized geometry

```
5
Lattice="5.011 0.000 0.000 0.000 5.011 0.000 0.000 0.000 4.971" Properties=species:S:1:pos:R:3 pbc="T T T"
Cd 0.000 0.000 0.000
B 2.505 2.505 2.486
Sb 0.000 2.505 2.486
Sb 2.505 0.000 2.486
I 2.505 2.505 0.000
```

=====

Here are the energies relative to the best structure, in meV per atom: model w 739; model x 0.

=====

Model w:
Material: CdBTeI2
Method: DFT, GGA-PBE
State: optimized geometry

```
5
Lattice="5.853 0.000 0.000 0.000 5.853 0.000 0.000 0.000 5.670" Properties=species:S:1:pos:R:3 pbc="T T T"
Cd 0.000 0.000 0.000
B 2.927 2.927 2.835
Te 0.000 0.000 2.835
I 0.000 2.927 0.000
I 2.927 0.000 0.000
```

=====

Model x:
Material: CdBTeI2
Method: DFT, GGA-PBE
State: optimized geometry

```
5
Lattice="5.089 0.000 0.000 0.000 5.089 0.000 0.000 0.000 5.144" Properties=species:S:1:pos:R:3 pbc="T T T"
Cd 0.000 0.000 0.000
B 2.545 2.545 2.572
Te 2.545 2.545 0.000
I 0.000 2.545 2.572
I 2.545 0.000 2.572
```

=====

Here are the energies relative to the best structure, in meV per atom: model w 467; model x 0.

=====

Model w:
Material: CdIn3B
Method: DFT, GGA-PBE
State: optimized geometry

```
5
Lattice="5.477 0.000 0.000 0.000 5.477 0.000 0.000 0.000 5.477" Properties=species:S:1:pos:R:3 pbc="T T T"
Cd 0.000 0.000 0.000
In 0.000 0.000 2.739
In 0.000 2.739 0.000
In 2.739 0.000 0.000
B 2.739 2.739 2.739
```

=====

Model x:
Material: CdIn3B
Method: DFT, GGA-PBE
State: optimized geometry

```
5
Lattice="4.899 0.000 0.000 0.000 4.899 0.000 0.000 0.000 4.899" Properties=species:S:1:pos:R:3 pbc="T T T"
Cd 0.000 0.000 0.000
In 0.000 2.449 2.449
In 2.449 0.000 2.449
In 2.449 2.449 0.000
B 2.449 2.449 2.449
```

=====

Here are the energies relative to the best structure, in meV per atom: model w 834; model x 0.

=====

Model w:
Material: CdIn2B
Method: DFT, GGA-PBE
State: optimized geometry

```
8
Lattice="-3.188 3.188 5.209 3.188 -3.188 5.209 3.188 3.188 -5.209" Properties=species:S:1:pos:R:3 pbc="T T T"
Cd 0.000 0.000 0.000
Cd 0.000 3.188 2.605
In 1.594 -0.876 3.907
In 2.312 1.594 1.302
In 1.594 4.065 -1.302
In 0.876 1.594 6.511
B 3.188 0.000 2.605
B 0.000 0.000 5.209
```

=====

Model x:
Material: CdIn2B
Method: DFT, GGA-PBE
State: optimized geometry

```
4
Lattice="0.000 3.487 3.487 3.487 0.000 3.487 3.487 3.487 0.000" Properties=species:S:1:pos:R:3 pbc="T T T"
Cd 0.000 0.000 0.000
In 1.744 1.744 1.744
In 5.231 5.231 5.231
B 3.487 3.487 3.487
```

=====

Here are the energies relative to the best structure, in meV per atom: model w 0; model x 301.

=====

Model w:
Material: CdBIr2
Method: DFT, GGA-PBE
State: optimized geometry

```
4
Lattice="1.435 0.829 7.806 -1.435 0.829 7.806 0.000 -1.657 7.806" Properties=species:S:1:pos:R:3 pbc="T T T"
Cd 0.000 0.000 0.000
B 0.000 0.000 11.709
Ir 0.000 0.000 5.337
Ir 0.000 0.000 18.082
```

=====

Model x:
Material: CdBIr2
Method: DFT, GGA-PBE
State: optimized geometry

```
4
Lattice="0.000 3.032 3.032 3.032 0.000 3.032 3.032 3.032 0.000" Properties=species:S:1:pos:R:3 pbc="T T T"
Cd 0.000 0.000 0.000
B 3.032 3.032 3.032
Ir 1.516 1.516 1.516
Ir 4.547 4.547 4.547
```

=====

Here are the energies relative to the best structure, in meV per atom: model w 0; model x 787.

=====

Model w:
Material: CdBIr2
Method: DFT, GGA-PBE
State: optimized geometry

```
4
Lattice="-1.407 1.453 7.062 1.407 -1.453 7.062 1.407 1.453 -7.062" Properties=species:S:1:pos:R:3 pbc="T T T"
Cd 0.000 0.000 0.000
B 0.000 1.453 3.385
Ir 1.407 0.000 2.490
Ir 0.000 0.000 4.949
```

=====

Model x:
Material: CdBIr2
Method: DFT, GGA-PBE
State: optimized geometry

```
4
Lattice="2.788 0.000 0.000 0.000 2.788 0.000 0.000 0.000 7.015" Properties=species:S:1:pos:R:3 pbc="T T T"
Cd 0.000 0.000 0.000
B 0.000 0.000 3.508
Ir 1.394 1.394 2.212
Ir 1.394 1.394 4.803
```

=====

Model y:
Material: CdBIr2
Method: DFT, GGA-PBE
State: optimized geometry

```
8
Lattice="-2.381 2.381 6.569 2.381 -2.381 6.569 2.381 2.381 -6.569" Properties=species:S:1:pos:R:3 pbc="T T T"
Cd 0.000 0.000 0.000
Cd 0.000 2.381 3.285
B 2.381 0.000 3.285
B 0.000 0.000 6.569
Ir 1.191 -0.433 4.927
Ir 1.949 1.191 1.642
Ir 1.191 2.814 -1.642
Ir 0.433 1.191 8.212
```

=====

Model z:
Material: CdBIr2
Method: DFT, GGA-PBE
State: optimized geometry

```
4
Lattice="1.438 0.830 7.770 -1.438 0.830 7.770 0.000 -1.660 7.770" Properties=species:S:1:pos:R:3 pbc="T T T"
Cd 0.000 0.000 0.000
B 0.000 0.000 19.425
Ir 0.000 0.000 5.317
Ir 0.000 0.000 10.224
```

=====

Here are the energies relative to the best structure, in meV per atom: model w 0; model x 164; model y 601; model z 33.

=====

Model w:
Material: CdBIr3
Method: DFT, GGA-PBE
State: optimized geometry

```
5
Lattice="4.876 0.000 0.000 0.000 4.876 0.000 0.000 0.000 4.876" Properties=species:S:1:pos:R:3 pbc="T T T"
Cd 0.000 0.000 0.000
B 2.438 2.438 2.438
Ir 0.000 0.000 2.438
Ir 0.000 2.438 0.000
Ir 2.438 0.000 0.000
```

=====

Model x:
Material: CdBIr3
Method: DFT, GGA-PBE
State: optimized geometry

```
5
Lattice="4.172 0.000 0.000 0.000 4.172 0.000 0.000 0.000 4.172" Properties=species:S:1:pos:R:3 pbc="T T T"
Cd 0.000 0.000 0.000
B 2.086 2.086 2.086
Ir 0.000 2.086 2.086
Ir 2.086 0.000 2.086
Ir 2.086 2.086 0.000
```

=====

Here are the energies relative to the best structure, in meV per atom: model w 3214; model x 0.

=====

Model w:
Material: CdB3Ir
Method: DFT, GGA-PBE
State: optimized geometry

```
5
Lattice="4.174 0.000 0.000 0.000 4.174 0.000 0.000 0.000 4.174" Properties=species:S:1:pos:R:3 pbc="T T T"
Cd 0.000 0.000 0.000
B 0.000 0.000 2.087
B 0.000 2.087 0.000
B 2.087 0.000 0.000
Ir 2.087 2.087 2.087
```

=====

Model x:
Material: CdB3Ir
Method: DFT, GGA-PBE
State: optimized geometry

```
5
Lattice="4.195 0.000 0.000 0.000 4.195 0.000 0.000 0.000 4.195" Properties=species:S:1:pos:R:3 pbc="T T T"
Cd 0.000 0.000 0.000
B 0.000 2.098 2.098
B 2.098 0.000 2.098
B 2.098 2.098 0.000
Ir 2.098 2.098 2.098
```

=====

Here are the energies relative to the best structure, in meV per atom: model w 1784; model x 0.

=====

Model w:
Material: CdNiBIr2
Method: DFT, GGA-PBE
State: optimized geometry

```
5
Lattice="4.896 0.000 0.000 0.000 4.896 0.000 0.000 0.000 4.565" Properties=species:S:1:pos:R:3 pbc="T T T"
Cd 0.000 0.000 0.000
Ni 0.000 0.000 2.283
B 2.448 2.448 2.283
Ir 0.000 2.448 0.000
Ir 2.448 0.000 0.000
```

=====

Model x:
Material: CdNiBIr2
Method: DFT, GGA-PBE
State: optimized geometry

```
5
Lattice="4.945 0.000 0.000 0.000 4.945 0.000 0.000 0.000 3.955" Properties=species:S:1:pos:R:3 pbc="T T T"
Cd 0.000 0.000 0.000
Ni 2.472 2.472 1.977
B 0.000 0.000 1.977
Ir 0.000 2.472 0.000
Ir 2.472 0.000 0.000
```

=====

Here are the energies relative to the best structure, in meV per atom: model w 390; model x 0.

=====

Model w:
Material: K2CdB
Method: DFT, GGA-PBE
State: optimized geometry

```
8
Lattice="-6.140 6.140 2.164 6.140 -6.140 2.164 6.140 6.140 -2.164" Properties=species:S:1:pos:R:3 pbc="T T T"
K 0.646 3.070 0.541
K -3.070 5.494 1.623
K -0.646 9.209 0.541
K 3.070 6.785 1.623
Cd 6.140 0.000 1.082
Cd 0.000 0.000 2.164
B 0.000 0.000 0.000
B 0.000 6.140 1.082
```

=====

Model x:
Material: K2CdB
Method: DFT, GGA-PBE
State: optimized geometry

```
4
Lattice="0.000 4.005 4.005 4.005 0.000 4.005 4.005 4.005 0.000" Properties=species:S:1:pos:R:3 pbc="T T T"
K 2.002 2.002 2.002
K 6.007 6.007 6.007
Cd 0.000 0.000 0.000
B 4.005 4.005 4.005
```

=====

Here are the energies relative to the best structure, in meV per atom: model w 0; model x 464.

=====

Model w:
Material: KCd3B
Method: DFT, GGA-PBE
State: optimized geometry

```
5
Lattice="6.546 0.000 0.000 0.000 6.546 0.000 0.000 0.000 6.546" Properties=species:S:1:pos:R:3 pbc="T T T"
K 0.000 0.000 0.000
Cd 0.000 0.000 3.273
Cd 0.000 3.273 0.000
Cd 3.273 0.000 0.000
B 3.273 3.273 3.273
```

=====

Model x:
Material: KCd3B
Method: DFT, GGA-PBE
State: optimized geometry

```
5
Lattice="4.898 0.000 0.000 0.000 4.898 0.000 0.000 0.000 4.898" Properties=species:S:1:pos:R:3 pbc="T T T"
K 0.000 0.000 0.000
Cd 0.000 2.449 2.449
Cd 2.449 0.000 2.449
Cd 2.449 2.449 0.000
B 2.449 2.449 2.449
```

=====

Here are the energies relative to the best structure, in meV per atom: model w 1113; model x 0.